First-principles (PBE-GGA) data for a geometry-optimized Ba2Cd4GeAu3 structure, as listed in Alexandria via LeMat-Bulk. Values from VASP.

- total magnetization (Bohr magnetons per cell) = 0.00
- electronic total energy (eV/atom) = -2.619

Cell and atoms, written as Quantum ESPRESSO input:
```
&SYSTEM
  ibrav = 0, nat = 10, ntyp = 4
/
ATOMIC_SPECIES
Ba 137.33 Ba.upf
Cd 112.41 Cd.upf
Ge 72.64 Ge.upf
Au 196.97 Au.upf
CELL_PARAMETERS angstrom
4.8554 0.0000 0.0000
0.0000 4.8554 0.0000
0.0000 0.0000 11.4345
ATOMIC_POSITIONS angstrom
Ba 0.0000 2.4277 2.7143
Ba 2.4277 0.0000 8.7202
Cd 0.0000 0.0000 5.7173
Cd 0.0000 2.4277 10.0100
Cd 2.4277 0.0000 1.4245
Cd 2.4277 2.4277 5.7173
Ge 2.4277 2.4277 0.0000
Au 0.0000 0.0000 0.0000
Au 0.0000 2.4277 7.2458
Au 2.4277 0.0000 4.1887
```